Computed, not measured: a geometry-optimized Be2RuBr structure at the GGA-PBEsol level of DFT.

Unit cell a=3.0439 b=3.0439 c=5.8815 alpha=90.00 beta=90.00 gamma=90.00
Positions (direct):
Be 0.0000 0.0000 0.0000
Be 0.5000 0.5000 0.2069
Ru 0.0000 0.0000 0.3554
Br 0.5000 0.5000 0.7715

Its symmetry is P4mm, No. 99. For the raw formation energy, the calculation gives 30 kJ/mol of atoms. The excess energy over the best structure of this formula in the dataset is 189 meV/atom.

Computed, not measured: a geometry-optimized NaMoAs3 structure at the GGA-PBEsol level of DFT.

Unit cell a=4.8867 b=4.8867 c=4.8867 alpha=90.00 beta=90.00 gamma=90.00
Positions (direct):
Na 0.0000 0.0000 0.0000
Mo 0.5000 0.5000 0.5000
As 0.0000 0.5000 0.5000
As 0.5000 0.0000 0.5000
As 0.5000 0.5000 0.0000

Its symmetry is Pm-3m, No. 221. The formation energy is 3.4 kcal/mol of atoms.

Computed, not measured: a geometry-optimized MnNiCl2 structure at the GGA-PBEsol level of DFT.

Unit cell a=4.3500 b=4.3500 c=4.3500 alpha=60.00 beta=60.00 gamma=60.00
Positions (direct):
Mn 0.0000 0.0000 0.0000
Ni 0.5000 0.5000 0.5000
Cl 0.2500 0.2500 0.2500
Cl 0.7500 0.7500 0.7500

Its symmetry is Fm-3m, No. 225. For the raw formation energy, the calculation gives 14 kJ/mol of atoms. The excess energy over the best structure of this formula in the dataset is 374 meV/atom.

Computed, not measured: a geometry-optimized LiLa2Tl2 structure at the GGA-PBEsol level of DFT.

Unit cell a=7.6713 b=7.6713 c=4.8825 alpha=90.00 beta=90.00 gamma=90.00
Positions (direct):
Li 0.0000 0.0000 0.0000
Li 0.5000 0.5000 0.0000
La 0.1467 0.3533 0.5000
La 0.3533 0.8533 0.5000
La 0.6467 0.1467 0.5000
La 0.8533 0.6467 0.5000
Tl 0.1540 0.6540 0.0000
Tl 0.3460 0.1540 0.0000
Tl 0.6540 0.8460 0.0000
Tl 0.8460 0.3460 0.0000

Its symmetry is P4/mbm, No. 127. The formation energy is -8.2 kcal/mol of atoms.